Below is a geometry-optimized LiCoPO4 structure, with properties calculated at the GGA+U level.

Cell lengths 5.1374, 8.5254, 8.8007 Å; angles 90.00, 90.00, 90.00 degrees
Last column: nearest neighbours and their distance in Å.
Atoms (fractional coordinates):
Li 0.8624 0.0620 0.5921  3 O 1.92-1.98
Li 0.3624 0.4380 0.0921  3 O 1.92-1.98
Li 0.8624 0.5620 0.9079  3 O 1.92-1.98
Li 0.3624 0.9380 0.4079  3 O 1.92-1.98
Co 0.0680 0.1216 0.0252  4 O 1.95-2.01
Co 0.5680 0.3784 0.5252  4 O 1.95-2.01
Co 0.0680 0.6216 0.4748  4 O 1.95-2.01
Co 0.5680 0.8784 0.9748  4 O 1.95-2.01
P 0.5683 0.2352 0.8554  4 O 1.53-1.60
P 0.0683 0.2648 0.3554  4 O 1.53-1.60
P 0.5683 0.7352 0.6446  4 O 1.53-1.60
P 0.0683 0.7648 0.1446  4 O 1.53-1.60
O 0.7134 0.0935 0.9383  1 P 1.60
O 0.1326 0.1129 0.4407  1 P 1.53
O 0.2745 0.1991 0.8540  1 P 1.54
O 0.6727 0.2374 0.6891  1 P 1.56
O 0.1727 0.2626 0.1891  1 P 1.56
O 0.7745 0.3009 0.3540  1 P 1.54
O 0.6326 0.3871 0.9407  1 P 1.53
O 0.2134 0.4065 0.4383  1 P 1.60
O 0.7134 0.5935 0.5617  1 P 1.60
O 0.1326 0.6129 0.0593  1 P 1.53
O 0.2745 0.6991 0.6460  1 P 1.54
O 0.6727 0.7374 0.8109  1 P 1.56
O 0.1727 0.7626 0.3109  1 P 1.56
O 0.7745 0.8009 0.1460  1 P 1.54
O 0.6326 0.8871 0.5593  1 P 1.53
O 0.2134 0.9065 0.0617  1 P 1.60

Values from the calculation:
Relative energy among the computed polymorphs, meV per atom: 50
Symmetry: Pna2_1, No. 33
VASP energy, eV/atom: -6.596